1.
# Hf2HSe4 | the Alexandria database | GGA-PBE | relaxed
data_Hf2HSe4
_symmetry_space_group_name_H-M 'P -1'
_symmetry_Int_Tables_number 2
_cell_length_a 7.346
_cell_length_b 7.621
_cell_length_c 7.628
_cell_angle_alpha 60.25
_cell_angle_beta 61.22
_cell_angle_gamma 61.23
loop_
_symmetry_equiv_pos_as_xyz
'x,y,z'
'-x,-y,-z'
loop_
_atom_site_label
_atom_site_type_symbol
_atom_site_fract_x
_atom_site_fract_y
_atom_site_fract_z
Hf1 Hf 0.000 0.000 0.000
Hf2 Hf 0.000 0.000 0.500
Hf3 Hf 0.000 0.500 0.000
Hf4 Hf 0.500 0.000 0.000
H1 H 0.480 0.271 0.270
Se1 Se 0.244 0.752 0.259
Se2 Se 0.245 0.259 0.752
Se3 Se 0.259 0.751 0.751
Se4 Se 0.262 0.249 0.249
# Calculated volume: 308.02 Å³/cell
# Total moment: 0.000 μB/atom
# DFT total energy: -88.1 eV per cell

---

2.
# HfHSe3 | the Alexandria database | GGA-PBE | relaxed
data_HfHSe3
_symmetry_space_group_name_H-M 'P m -3 m'
_symmetry_Int_Tables_number 221
_symmetry_space_group_name_Hall '-P 4 2 3'
_cell_length_a 4.371
_cell_length_b 4.371
_cell_length_c 4.371
_cell_angle_alpha 90.00
_cell_angle_beta 90.00
_cell_angle_gamma 90.00
loop_
_atom_site_label
_atom_site_type_symbol
_atom_site_fract_x
_atom_site_fract_y
_atom_site_fract_z
Hf1 Hf 0.000 0.000 0.000
H1 H 0.500 0.500 0.500
Se1 Se 0.000 0.500 0.500
# Calculated volume: 83.50 Å³/cell
# Total moment: 0.000 μB/atom
# DFT total energy: -22.1 eV per cell
# ΔE to the lowest computed polymorph: 311 meV/atom

---

3.
# HfH2Se | the Alexandria database | GGA-PBE | relaxed
data_HfH2Se
_symmetry_space_group_name_H-M 'F m -3 m'
_symmetry_Int_Tables_number 225
_symmetry_space_group_name_Hall '-F 4 2 3'
_cell_length_a 5.673
_cell_length_b 5.673
_cell_length_c 5.673
_cell_angle_alpha 90.00
_cell_angle_beta 90.00
_cell_angle_gamma 90.00
loop_
_atom_site_label
_atom_site_type_symbol
_atom_site_fract_x
_atom_site_fract_y
_atom_site_fract_z
Hf1 Hf 0.000 0.000 0.000
H1 H 0.250 0.250 0.250
Se1 Se 0.000 0.000 0.500
# Calculated volume: 182.61 Å³/cell
# Total moment: 0.000 μB/atom
# DFT total energy: -77.6 eV per cell
# ΔE to the lowest computed polymorph: 961 meV/atom

---

4.
# HfH2Se | the Alexandria database | GGA-PBE | relaxed
data_HfH2Se
_symmetry_space_group_name_H-M 'I 4 m m'
_symmetry_Int_Tables_number 107
_symmetry_space_group_name_Hall 'I 4 -2'
_cell_length_a 3.445
_cell_length_b 3.445
_cell_length_c 8.624
_cell_angle_alpha 90.00
_cell_angle_beta 90.00
_cell_angle_gamma 90.00
loop_
_atom_site_label
_atom_site_type_symbol
_atom_site_fract_x
_atom_site_fract_y
_atom_site_fract_z
Hf1 Hf 0.000 0.000 0.000
H1 H 0.000 0.500 0.100
Se1 Se 0.000 0.000 0.334
# Calculated volume: 102.34 Å³/cell
# Total moment: 0.000 μB/atom
# DFT total energy: -46.0 eV per cell
# ΔE to the lowest computed polymorph: 63 meV/atom

---

5.
# HfH2Se | the Alexandria database | GGA-PBE | relaxed
data_HfH2Se
_symmetry_space_group_name_H-M 'C m c m'
_symmetry_Int_Tables_number 63
_symmetry_space_group_name_Hall '-C 2c 2'
_cell_length_a 3.393
_cell_length_b 18.076
_cell_length_c 3.467
_cell_angle_alpha 90.00
_cell_angle_beta 90.00
_cell_angle_gamma 90.00
loop_
_atom_site_label
_atom_site_type_symbol
_atom_site_fract_x
_atom_site_fract_y
_atom_site_fract_z
Hf1 Hf 0.000 0.086 0.250
H1 H 0.000 0.027 0.750
H2 H 0.000 0.461 0.750
Se1 Se 0.000 0.337 0.250
# Calculated volume: 212.63 Å³/cell
# Total moment: 0.000 μB/atom
# DFT total energy: -92.1 eV per cell
# ΔE to the lowest computed polymorph: 56 meV/atom

---

6.
# HfHSe2 | the Alexandria database | GGA-PBE | relaxed
data_HfHSe2
_symmetry_space_group_name_H-M 'P 1 21/m 1'
_symmetry_Int_Tables_number 11
_cell_length_a 7.141
_cell_length_b 3.178
_cell_length_c 7.431
_cell_angle_alpha 90.00
_cell_angle_beta 105.34
_cell_angle_gamma 90.00
loop_
_symmetry_equiv_pos_as_xyz
'x,y,z'
'-x,-y,-z'
'-x,y+1/2,-z'
'x,-y+1/2,z'
loop_
_atom_site_label
_atom_site_type_symbol
_atom_site_fract_x
_atom_site_fract_y
_atom_site_fract_z
Hf1 Hf 0.040 0.250 0.260
H1 H 0.106 0.250 0.777
Se1 Se 0.249 0.750 0.073
Se2 Se 0.249 0.750 0.553
# Calculated volume: 162.61 Å³/cell
# Total moment: 0.000 μB/atom
# DFT total energy: -46.6 eV per cell
# ΔE to the lowest computed polymorph: 0 meV/atom

---

7.
# HfH2Se | the Alexandria database | GGA-PBE | relaxed
data_HfH2Se
_symmetry_space_group_name_H-M 'C m c 21'
_symmetry_Int_Tables_number 36
_cell_length_a 3.429
_cell_length_b 9.523
_cell_length_c 6.131
_cell_angle_alpha 90.00
_cell_angle_beta 90.00
_cell_angle_gamma 90.00
loop_
_symmetry_equiv_pos_as_xyz
'x,y,z'
'-x,-y,z+1/2'
'-x,y,z'
'x,-y,z+1/2'
'x+1/2,y+1/2,z'
'-x+1/2,-y+1/2,z+1/2'
'-x+1/2,y+1/2,z'
'x+1/2,-y+1/2,z+1/2'
loop_
_atom_site_label
_atom_site_type_symbol
_atom_site_fract_x
_atom_site_fract_y
_atom_site_fract_z
Hf1 Hf 0.000 0.075 0.000
H1 H 0.000 0.084 0.310
H2 H 0.000 0.356 0.610
Se1 Se 0.000 0.364 0.146
# Calculated volume: 200.21 Å³/cell
# Total moment: 0.000 μB/atom
# DFT total energy: -92.3 eV per cell
# ΔE to the lowest computed polymorph: 44 meV/atom

---

8.
# HfHSe2 | the Alexandria database | GGA-PBE | relaxed
data_HfHSe2
_symmetry_space_group_name_H-M 'R -3 m'
_symmetry_Int_Tables_number 166
_symmetry_space_group_name_Hall '-R 3 2"'
_cell_length_a 3.7438
_cell_length_b 3.7438
_cell_length_c 20.2240
_cell_angle_alpha 90.00
_cell_angle_beta 90.00
_cell_angle_gamma 120.00
loop_
_atom_site_label
_atom_site_type_symbol
_atom_site_fract_x
_atom_site_fract_y
_atom_site_fract_z
Hf1 Hf 0.0000 0.0000 0.0000
H1 H 0.0000 0.0000 0.5000
Se1 Se 0.0000 0.0000 0.4125
# Calculated volume: 245.48 Å³/cell
# Total moment: 0.000 μB/atom
# DFT total energy: -69.7 eV per cell
# ΔE to the lowest computed polymorph: 16 meV/atom

---

9.
# HfH2Se | the Alexandria database | GGA-PBE | relaxed
data_HfH2Se
_symmetry_space_group_name_H-M 'A m m 2'
_symmetry_Int_Tables_number 38
_cell_length_a 3.454
_cell_length_b 12.742
_cell_length_c 5.632
_cell_angle_alpha 90.00
_cell_angle_beta 90.00
_cell_angle_gamma 90.00
loop_
_symmetry_equiv_pos_as_xyz
'x,y,z'
'-x,-y,z'
'-x,y,z'
'x,-y,z'
'x,y+1/2,z+1/2'
'-x,-y+1/2,z+1/2'
'-x,y+1/2,z+1/2'
'x,-y+1/2,z+1/2'
loop_
_atom_site_label
_atom_site_type_symbol
_atom_site_fract_x
_atom_site_fract_y
_atom_site_fract_z
Hf1 Hf 0.000 0.000 0.000
Hf2 Hf 0.500 0.000 0.499
H1 H 0.000 0.000 0.338
H2 H 0.500 0.000 0.847
H3 H 0.500 0.082 0.171
Se1 Se 0.000 0.146 0.677
# Calculated volume: 247.85 Å³/cell
# Total moment: 0.000 μB/atom
# DFT total energy: -92.0 eV per cell
# ΔE to the lowest computed polymorph: 61 meV/atom

---

10.
# Hf3H2Se2 | the Alexandria database | GGA-PBE | relaxed
data_Hf3H2Se2
_symmetry_space_group_name_H-M 'P 1 21/c 1'
_symmetry_Int_Tables_number 14
_cell_length_a 5.338
_cell_length_b 7.076
_cell_length_c 6.230
_cell_angle_alpha 90.00
_cell_angle_beta 114.63
_cell_angle_gamma 90.00
loop_
_symmetry_equiv_pos_as_xyz
'x,y,z'
'-x,-y,-z'
'-x,y+1/2,-z+1/2'
'x,-y+1/2,z+1/2'
loop_
_atom_site_label
_atom_site_type_symbol
_atom_site_fract_x
_atom_site_fract_y
_atom_site_fract_z
Hf1 Hf 0.000 0.000 0.000
Hf2 Hf 0.404 0.152 0.738
H1 H 0.376 0.094 0.061
Se1 Se 0.185 0.648 0.934
# Calculated volume: 213.88 Å³/cell
# Total moment: 0.000 μB/atom
# DFT total energy: -96.4 eV per cell

---

11.
# HfH2Se | the Alexandria database | GGA-PBE | relaxed
data_HfH2Se
_symmetry_space_group_name_H-M 'C 1 m 1'
_symmetry_Int_Tables_number 8
_cell_length_a 9.563
_cell_length_b 3.445
_cell_length_c 6.348
_cell_angle_alpha 90.00
_cell_angle_beta 107.15
_cell_angle_gamma 90.00
loop_
_symmetry_equiv_pos_as_xyz
'x,y,z'
'x,-y,z'
'x+1/2,y+1/2,z'
'x+1/2,-y+1/2,z'
loop_
_atom_site_label
_atom_site_type_symbol
_atom_site_fract_x
_atom_site_fract_y
_atom_site_fract_z
Hf1 Hf 0.000 0.000 0.000
Hf2 Hf 0.219 0.000 0.609
H1 H 0.132 0.500 0.501
H2 H 0.158 0.000 0.283
H3 H 0.402 0.000 0.855
H4 H 0.487 0.000 0.162
Se1 Se 0.213 0.500 0.959
Se2 Se 0.419 0.500 0.539
# Calculated volume: 199.83 Å³/cell
# Total moment: 0.000 μB/atom
# DFT total energy: -91.9 eV per cell
# ΔE to the lowest computed polymorph: 65 meV/atom

---

12.
# HfH2Se | the Alexandria database | GGA-PBE | relaxed
data_HfH2Se
_symmetry_space_group_name_H-M 'C 1 m 1'
_symmetry_Int_Tables_number 8
_cell_length_a 9.720
_cell_length_b 3.476
_cell_length_c 5.992
_cell_angle_alpha 90.00
_cell_angle_beta 106.65
_cell_angle_gamma 90.00
loop_
_symmetry_equiv_pos_as_xyz
'x,y,z'
'x,-y,z'
'x+1/2,y+1/2,z'
'x+1/2,-y+1/2,z'
loop_
_atom_site_label
_atom_site_type_symbol
_atom_site_fract_x
_atom_site_fract_y
_atom_site_fract_z
Hf1 Hf 0.000 0.000 0.000
Hf2 Hf 0.179 0.000 0.577
H1 H 0.007 0.000 0.678
H2 H 0.174 0.000 0.250
H3 H 0.270 0.500 0.519
H4 H 0.399 0.000 0.815
Se1 Se 0.205 0.500 0.942
Se2 Se 0.467 0.000 0.335
# Calculated volume: 193.99 Å³/cell
# Total moment: 0.000 μB/atom
# DFT total energy: -92.1 eV per cell
# ΔE to the lowest computed polymorph: 57 meV/atom

---

13.
# Hf4HSe3 | the Alexandria database | GGA-PBE | relaxed
data_Hf4HSe3
_symmetry_space_group_name_H-M 'P m n 21'
_symmetry_Int_Tables_number 31
_cell_length_a 9.311
_cell_length_b 6.717
_cell_length_c 5.002
_cell_angle_alpha 90.00
_cell_angle_beta 90.00
_cell_angle_gamma 90.00
loop_
_symmetry_equiv_pos_as_xyz
'x,y,z'
'-x+1/2,-y,z+1/2'
'-x,y,z'
'x+1/2,-y,z+1/2'
loop_
_atom_site_label
_atom_site_type_symbol
_atom_site_fract_x
_atom_site_fract_y
_atom_site_fract_z
Hf1 Hf 0.000 0.117 0.000
Hf2 Hf 0.000 0.840 0.502
Hf3 Hf 0.229 0.178 0.500
H1 H 0.000 0.142 0.419
Se1 Se 0.000 0.700 0.002
Se2 Se 0.238 0.350 0.000
# Calculated volume: 312.84 Å³/cell
# Total moment: 0.000 μB/atom
# DFT total energy: -119.4 eV per cell

---

14.
# HfHSe2 | the Alexandria database | GGA-PBE | relaxed
data_HfHSe2
_symmetry_space_group_name_H-M 'F m -3 m'
_symmetry_Int_Tables_number 225
_symmetry_space_group_name_Hall '-F 4 2 3'
_cell_length_a 6.493
_cell_length_b 6.493
_cell_length_c 6.493
_cell_angle_alpha 90.00
_cell_angle_beta 90.00
_cell_angle_gamma 90.00
loop_
_atom_site_label
_atom_site_type_symbol
_atom_site_fract_x
_atom_site_fract_y
_atom_site_fract_z
Hf1 Hf 0.000 0.000 0.000
H1 H 0.000 0.000 0.500
Se1 Se 0.250 0.250 0.250
# Calculated volume: 273.72 Å³/cell
# Total moment: 0.000 μB/atom
# DFT total energy: -84.5 eV per cell
# ΔE to the lowest computed polymorph: 547 meV/atom

---

15.
# HfH2Se | the Alexandria database | GGA-PBE | relaxed
data_HfH2Se
_symmetry_space_group_name_H-M 'C 1 m 1'
_symmetry_Int_Tables_number 8
_cell_length_a 9.421
_cell_length_b 3.448
_cell_length_c 7.371
_cell_angle_alpha 90.00
_cell_angle_beta 123.72
_cell_angle_gamma 90.00
loop_
_symmetry_equiv_pos_as_xyz
'x,y,z'
'x,-y,z'
'x+1/2,y+1/2,z'
'x+1/2,-y+1/2,z'
loop_
_atom_site_label
_atom_site_type_symbol
_atom_site_fract_x
_atom_site_fract_y
_atom_site_fract_z
Hf1 Hf 0.000 0.000 0.000
Hf2 Hf 0.149 0.500 0.479
H1 H 0.014 0.000 0.318
H2 H 0.021 0.500 0.168
H3 H 0.056 0.500 0.928
H4 H 0.389 0.500 0.693
Se1 Se 0.212 0.000 0.814
Se2 Se 0.313 0.000 0.373
# Calculated volume: 199.17 Å³/cell
# Total moment: 0.000 μB/atom
# DFT total energy: -92.2 eV per cell
# ΔE to the lowest computed polymorph: 49 meV/atom

---

16.
# HfH2Se | the Alexandria database | GGA-PBE | relaxed
data_HfH2Se
_symmetry_space_group_name_H-M 'R -3 m'
_symmetry_Int_Tables_number 166
_symmetry_space_group_name_Hall '-R 3 2"'
_cell_length_a 3.4882
_cell_length_b 3.4882
_cell_length_c 29.8335
_cell_angle_alpha 90.00
_cell_angle_beta 90.00
_cell_angle_gamma 120.00
loop_
_atom_site_label
_atom_site_type_symbol
_atom_site_fract_x
_atom_site_fract_y
_atom_site_fract_z
Hf1 Hf 0.0000 0.0000 0.1153
H1 H 0.0000 0.0000 0.1846
H2 H 0.0000 0.0000 0.4579
Se1 Se 0.0000 0.0000 0.2767
# Calculated volume: 314.37 Å³/cell
# Total moment: 0.000 μB/atom
# DFT total energy: -139.0 eV per cell
# ΔE to the lowest computed polymorph: 20 meV/atom

---

17.
# HfH3Se | the Alexandria database | GGA-PBE | relaxed
data_HfH3Se
_symmetry_space_group_name_H-M 'P m -3 m'
_symmetry_Int_Tables_number 221
_symmetry_space_group_name_Hall '-P 4 2 3'
_cell_length_a 3.795
_cell_length_b 3.795
_cell_length_c 3.795
_cell_angle_alpha 90.00
_cell_angle_beta 90.00
_cell_angle_gamma 90.00
loop_
_atom_site_label
_atom_site_type_symbol
_atom_site_fract_x
_atom_site_fract_y
_atom_site_fract_z
Hf1 Hf 0.000 0.000 0.000
H1 H 0.000 0.000 0.500
Se1 Se 0.500 0.500 0.500
# Calculated volume: 54.64 Å³/cell
# Total moment: 0.000 μB/atom
# DFT total energy: -23.4 eV per cell
# ΔE to the lowest computed polymorph: 0 meV/atom

---

18.
# HfHSe2 | the Alexandria database | GGA-PBE | relaxed
data_HfHSe2
_symmetry_space_group_name_H-M 'I -4 2 d'
_symmetry_Int_Tables_number 122
_symmetry_space_group_name_Hall 'I -4 2bw'
_cell_length_a 5.661
_cell_length_b 5.661
_cell_length_c 10.905
_cell_angle_alpha 90.00
_cell_angle_beta 90.00
_cell_angle_gamma 90.00
loop_
_atom_site_label
_atom_site_type_symbol
_atom_site_fract_x
_atom_site_fract_y
_atom_site_fract_z
Hf1 Hf 0.000 0.000 0.000
H1 H 0.000 0.000 0.500
Se1 Se 0.212 0.250 0.625
# Calculated volume: 349.49 Å³/cell
# Total moment: 0.197 μB/atom
# DFT total energy: -84.8 eV per cell
# ΔE to the lowest computed polymorph: 525 meV/atom

---

19.
# HfH2Se | the Alexandria database | GGA-PBE | relaxed
data_HfH2Se
_symmetry_space_group_name_H-M 'P m n 21'
_symmetry_Int_Tables_number 31
_cell_length_a 3.480
_cell_length_b 5.002
_cell_length_c 5.488
_cell_angle_alpha 90.00
_cell_angle_beta 90.00
_cell_angle_gamma 90.00
loop_
_symmetry_equiv_pos_as_xyz
'x,y,z'
'-x+1/2,-y,z+1/2'
'-x,y,z'
'x+1/2,-y,z+1/2'
loop_
_atom_site_label
_atom_site_type_symbol
_atom_site_fract_x
_atom_site_fract_y
_atom_site_fract_z
Hf1 Hf 0.000 0.111 0.000
H1 H 0.000 0.100 0.632
H2 H 0.000 0.873 0.313
Se1 Se 0.000 0.624 0.795
# Calculated volume: 95.54 Å³/cell
# Total moment: 0.000 μB/atom
# DFT total energy: -46.4 eV per cell
# ΔE to the lowest computed polymorph: 11 meV/atom

---

20.
# Hf4H2Se5 | the Alexandria database | GGA-PBE | relaxed
data_Hf4H2Se5
_symmetry_space_group_name_H-M 'I m m m'
_symmetry_Int_Tables_number 71
_symmetry_space_group_name_Hall '-I 2 2'
_cell_length_a 3.649
_cell_length_b 7.132
_cell_length_c 15.859
_cell_angle_alpha 90.00
_cell_angle_beta 90.00
_cell_angle_gamma 90.00
loop_
_atom_site_label
_atom_site_type_symbol
_atom_site_fract_x
_atom_site_fract_y
_atom_site_fract_z
Hf1 Hf 0.000 0.000 0.185
Hf2 Hf 0.000 0.288 0.500
H1 H 0.000 0.000 0.056
Se1 Se 0.000 0.229 0.335
Se2 Se 0.000 0.500 0.000
# Calculated volume: 412.68 Å³/cell
# Total moment: 0.000 μB/atom
# DFT total energy: -145.9 eV per cell

---

21.
# Hf2HSe | the Alexandria database | GGA-PBE | relaxed
data_Hf2HSe
_symmetry_space_group_name_H-M 'R 3 m'
_symmetry_Int_Tables_number 160
_symmetry_space_group_name_Hall 'R 3 -2"'
_cell_length_a 3.4742
_cell_length_b 3.4742
_cell_length_c 20.6197
_cell_angle_alpha 90.00
_cell_angle_beta 90.00
_cell_angle_gamma 120.00
loop_
_atom_site_label
_atom_site_type_symbol
_atom_site_fract_x
_atom_site_fract_y
_atom_site_fract_z
Hf1 Hf 0.0000 0.0000 0.0000
Hf2 Hf 0.0000 0.0000 0.4502
H1 H 0.0000 0.0000 0.3504
Se1 Se 0.0000 0.0000 0.8697
# Calculated volume: 215.53 Å³/cell
# Total moment: 0.000 μB/atom
# DFT total energy: -86.2 eV per cell
# ΔE to the lowest computed polymorph: 0 meV/atom